Material: LiCdTc2
Method: DFT, PBE-GGA
State: relaxed

Output
Calculated formation energy ... 0.1026 eV/atom
VASP energy ... -5.788 eV per atom
Density of states at the Fermi level ... 0.894 states/eV/atom

abc: 3.0820 3.0820 6.6364
angles: 90.00 90.00 90.00
Last column: nearest neighbours and their distance in Å.
Space group P4mm (No. 99)
Symmetry-distinct sites (fractional):
Li 0.0000 0.0000 0.0000 [1 per cell]  4 Cd 2.72, 5 Tc 2.74-2.94
Cd 0.5000 0.5000 0.7552 [1 per cell]  4 Li 2.72, 4 Tc 3.01
Tc 0.0000 0.0000 0.4424 [1 per cell]  4 Tc 2.53
Tc 0.5000 0.5000 0.2498 [1 per cell]  4 Tc 2.53, 4 Li 2.74


Material: LaPmNd2In
Method: DFT, PBE-GGA
State: relaxed

Output
Calculated formation energy ... 0.1068 eV/atom
VASP energy ... -4.284 eV per atom
Density of states at the Fermi level ... 1.429 states/eV/atom

abc: 8.7371 11.9168 6.9869
angles: 90.00 90.00 90.00
Last column: nearest neighbours and their distance in Å.
Space group Cmcm (No. 63)
Symmetry-distinct sites (fractional):
La 0.0000 0.2361 0.2500 [4 per cell]  1 Pm 3.47, 2 In 3.60
Pm 0.0000 0.0549 0.7500 [4 per cell]  1 In 3.03, 4 Nd 3.35
Nd 0.1809 0.5000 0.0000 [8 per cell]  3 Nd 3.16-3.49, 2 In 3.28, 2 Pm 3.35
In 0.0000 0.3089 0.7500 [4 per cell]  1 Pm 3.03, 4 Nd 3.28


Material: GaBr3O
Method: DFT, PBE-GGA
State: relaxed

Output
VASP energy ... -2.377 eV per atom
Raw formation energy ... 0.224 eV/atom
Density of states at the Fermi level ... 0.398 states/eV/atom
Relative energy among the computed polymorphs ... 0.000 eV per atom

abc: 4.8596 4.8596 4.8596
angles: 90.00 90.00 90.00
Last column: nearest neighbours and their distance in Å.
Space group Pm-3m (No. 221)
Symmetry-distinct sites (fractional):
Ga 0.0000 0.0000 0.0000 [1 per cell]  12 Br 3.44
Br 0.0000 0.5000 0.5000 [3 per cell]  2 O 2.43
O 0.5000 0.5000 0.5000 [1 per cell]  6 Br 2.43


Material: TlAgTe2
Method: DFT, PBE-GGA
State: relaxed

Output
VASP energy ... -3.005 eV per atom
Raw formation energy ... -0.130 eV/atom
Density of states at the Fermi level ... 0.004 states/eV/atom

abc: 4.8291 4.8307 6.0888
angles: 70.99 71.07 89.74
Last column: nearest neighbours and their distance in Å.
Space group P1 (No. 1)
Symmetry-distinct sites (fractional):
Tl 0.0000 0.0000 0.0000 [1 per cell]  2 Ag 3.21-3.22, 2 Te 3.45
Ag 0.8458 0.1520 0.4996 [1 per cell]  4 Te 2.84-2.93
Te 0.4311 0.4349 0.2605 [1 per cell]  2 Ag 2.84-2.93, 1 Te 2.86
Te 0.5659 0.5658 0.7415 [1 per cell]  2 Ag 2.84-2.93, 1 Te 2.86


Material: Sm3CuRu
Method: DFT, PBE-GGA
State: relaxed

Output
Calculated formation energy ... -0.2014 eV/atom
VASP energy ... -5.707 eV per atom
Density of states at the Fermi level ... 0.870 states/eV/atom

abc: 10.1562 6.4571 8.5538
angles: 90.00 117.44 90.00
Last column: nearest neighbours and their distance in Å.
Space group C2/m (No. 12)
Symmetry-distinct sites (fractional):
Sm 0.0354 0.0000 0.2777 [4 per cell]  2 Ru 2.79, 2 Cu 2.91
Sm 0.1879 0.5000 0.3000 [4 per cell]  2 Ru 2.86
Sm 0.1965 0.5000 0.8698 [4 per cell]  2 Cu 3.10, 4 Ru 3.12-3.22
Cu 0.0000 0.3143 0.5000 [4 per cell]  1 Cu 2.40
Ru 0.0000 0.2579 0.0000 [4 per cell]  6 Sm 2.79-3.12


Material: AgBr3
Method: DFT, PBE-GGA
State: relaxed

Output
VASP energy ... -1.987 eV per atom
Raw formation energy ... -0.020 eV/atom

abc: 4.6709 4.8617 7.3655
angles: 90.00 90.00 90.00
Last column: nearest neighbours and their distance in Å.
Space group Pmm2 (No. 25)
Symmetry-distinct sites (fractional):
Ag 0.0000 0.0000 0.0000 [1 per cell]  2 Br 2.52
Br 0.0000 0.5000 0.0912 [1 per cell]  2 Ag 2.52
Br 0.5000 0.0000 0.4971 [1 per cell]  2 Br 2.54
Br 0.5000 0.5000 0.5967 [1 per cell]  2 Br 2.54


Material: La5In2Ni
Method: DFT, PBE-GGA
State: relaxed

Output
Calculated formation energy ... -0.3399 eV/atom
VASP energy ... -4.827 eV per atom
Density of states at the Fermi level ... 1.094 states/eV/atom

abc: 7.4346 13.0232 5.1273
angles: 90.00 90.00 90.00
Last column: nearest neighbours and their distance in Å.
Space group Pbam (No. 55)
Symmetry-distinct sites (fractional):
La 0.0000 0.0000 0.0000 [2 per cell]  4 In 3.39, 4 La 3.68, 2 Ni 3.72
La 0.1139 0.2957 0.0000 [4 per cell]  1 Ni 2.79
La 0.1717 0.5785 0.5000 [4 per cell]  2 Ni 3.04, 1 La 3.27, 1 In 3.40
In 0.1063 0.8408 0.5000 [4 per cell]  9 La 3.35-3.52
Ni 0.0000 0.5000 0.0000 [2 per cell]  6 La 2.79-3.04


Material: Ce2Ga3SnIr4
Method: DFT, PBE-GGA
State: relaxed

Output
Calculated formation energy ... -0.6507 eV/atom
VASP energy ... -6.690 eV per atom
Density of states at the Fermi level ... 1.165 states/eV/atom

abc: 4.3089 4.3089 10.4688
angles: 90.00 90.00 90.00
Last column: nearest neighbours and their distance in Å.
Space group P-4m2 (No. 115)
Symmetry-distinct sites (fractional):
Ce 0.0000 0.5000 0.2337 [2 per cell]  6 Ga 3.26-3.52, 8 Ir 3.26-3.31, 2 Sn 3.52
Ga 0.0000 0.5000 0.8769 [2 per cell]  5 Ir 2.45-2.51
Ga 0.5000 0.5000 0.5000 [1 per cell]  4 Ir 2.62
Sn 0.0000 0.0000 0.5000 [1 per cell]  4 Ir 2.62
Ir 0.0000 0.0000 0.0000 [1 per cell]  4 Ga 2.51
Ir 0.0000 0.5000 0.6431 [2 per cell]  3 Ga 2.45-2.62, 2 Sn 2.62
Ir 0.5000 0.5000 0.0000 [1 per cell]  4 Ga 2.51


Material: Rb5Sr
Method: DFT, PBE-GGA
State: relaxed

Output
Calculated formation energy ... 0.0858 eV/atom
VASP energy ... -1.001 eV per atom
Density of states at the Fermi level ... 0.943 states/eV/atom

abc: 8.0461 24.2125 5.0078
angles: 90.00 90.00 90.00
Last column: nearest neighbours and their distance in Å.
Space group Cmmm (No. 65)
Symmetry-distinct sites (fractional):
Rb 0.0000 0.0000 0.0000 [2 per cell]  6 Rb 4.68-5.01, 4 Sr 4.74
Rb 0.0000 0.1632 0.5000 [4 per cell]  10 Rb 4.68-5.01
Rb 0.0000 0.3374 0.0000 [4 per cell]  2 Sr 4.67, 8 Rb 4.74-5.01
Sr 0.0000 0.5000 0.5000 [2 per cell]  8 Rb 4.67-4.74, 2 Sr 5.01


Material: BaSr6Ca8
Method: DFT, PBE-GGA
State: relaxed

Output
Calculated formation energy ... 0.1169 eV/atom
VASP energy ... -1.752 eV per atom
Density of states at the Fermi level ... 1.255 states/eV/atom
Relative energy among the computed polymorphs ... 0.090 eV per atom

abc: 10.3097 10.3097 24.6590
angles: 90.00 90.00 120.00
Last column: nearest neighbours and their distance in Å.
Space group R-3 (No. 148, hexagonal axes)
Symmetry-distinct sites (fractional):
Ba 0.0000 0.0000 0.0000 [3 per cell]  6 Ca 4.06, 6 Sr 4.18
Sr 0.0060 0.2476 0.3813 [18 per cell]  2 Ca 3.65-4.05, 1 Sr 3.72
Ca 0.0000 0.0000 0.2460 [6 per cell]  6 Ca 3.92-4.00, 6 Sr 4.05-4.18
Ca 0.0060 0.2548 0.8732 [18 per cell]  1 Ca 3.48, 1 Sr 3.65


Material: PrSnPt2
Method: DFT, PBE-GGA
State: relaxed

Output
Calculated formation energy ... -0.8651 eV/atom
VASP energy ... -6.081 eV per atom
Density of states at the Fermi level ... 0.552 states/eV/atom

abc: 4.6356 4.6356 14.3923
angles: 90.00 90.00 120.00
Last column: nearest neighbours and their distance in Å.
Space group R-3m (No. 166, hexagonal axes)
Symmetry-distinct sites (fractional):
Pr 0.0000 0.0000 0.0000 [3 per cell]  8 Pt 3.08-3.18
Sn 0.0000 0.0000 0.5000 [3 per cell]  6 Pt 2.76
Pt 0.0000 0.0000 0.2142 [6 per cell]  3 Sn 2.76, 3 Pt 3.01, 1 Pr 3.08


Material: Dy14HoAl
Method: DFT, PBE-GGA
State: relaxed

Output
Calculated formation energy ... 0.0028 eV/atom
VASP energy ... -4.544 eV per atom
Density of states at the Fermi level ... 1.456 states/eV/atom

abc: 10.7695 8.3501 10.8974
angles: 90.00 90.00 90.00
Last column: nearest neighbours and their distance in Å.
Space group Amm2 (No. 38)
Symmetry-distinct sites (fractional):
Dy 0.0000 0.0000 0.0000 [2 per cell]  12 Dy 3.39-3.78
Dy 0.0000 0.0000 0.4512 [2 per cell]  10 Dy 3.38-3.48
Dy 0.0000 0.2005 0.7293 [4 per cell]  11 Dy 3.35-3.69
Dy 0.2255 0.0000 0.2288 [4 per cell]  10 Dy 3.43-3.55, 1 Ho 3.70
Dy 0.2627 0.2056 0.5119 [8 per cell]  1 Al 3.16, 6 Dy 3.38-3.50
Dy 0.2809 0.0000 0.7914 [4 per cell]  1 Al 3.32, 8 Dy 3.41-3.52, 1 Ho 3.47
Dy 0.5000 0.2056 0.2948 [4 per cell]  2 Ho 3.40-3.51, 7 Dy 3.41-3.49, 2 Al 3.42-3.52
Ho 0.5000 0.0000 0.0251 [2 per cell]  12 Dy 3.40-3.70
Al 0.5000 0.0000 0.5772 [2 per cell]  10 Dy 3.16-3.52


Material: LiZn3Ni
Method: DFT, PBE-GGA
State: relaxed

Output
Calculated formation energy ... -0.2057 eV/atom
VASP energy ... -2.509 eV per atom
Density of states at the Fermi level ... 0.294 states/eV/atom
Relative energy among the computed polymorphs ... 0.000 eV per atom

abc: 4.1188 4.1320 7.9878
angles: 90.00 105.06 90.00
Last column: nearest neighbours and their distance in Å.
Space group P2_1/m (No. 11)
Symmetry-distinct sites (fractional):
Li 0.1557 0.2500 0.3128 [2 per cell]  8 Zn 2.51-2.58
Zn 0.0577 0.7500 0.1152 [2 per cell]  2 Ni 2.52, 2 Li 2.57, 4 Zn 2.71-2.72
Zn 0.2516 0.7500 0.5012 [2 per cell]  4 Li 2.51-2.53, 4 Ni 2.56
Zn 0.4434 0.7500 0.8871 [2 per cell]  2 Ni 2.54, 2 Li 2.57-2.58, 4 Zn 2.70-2.71
Ni 0.3476 0.2500 0.6965 [2 per cell]  8 Zn 2.52-2.56


Material: Pm12Ir3C5
Method: DFT, PBE-GGA
State: relaxed

Output
Calculated formation energy ... -0.1703 eV/atom
VASP energy ... -6.656 eV per atom
Density of states at the Fermi level ... 0.568 states/eV/atom

abc: 15.8251 15.8251 15.8251
angles: 90.00 90.00 90.00
Last column: nearest neighbours and their distance in Å.
Space group Ia-3d (No. 230)
Symmetry-distinct sites (fractional):
Pm 0.0265 0.0569 0.6516 [96 per cell]  2 C 2.38-2.60
Ir 0.0000 0.2500 0.1250 [24 per cell]  8 Pm 3.00-3.11
C 0.0000 0.0000 0.0000 [16 per cell]  6 Pm 2.60
C 0.0000 0.2500 0.3750 [24 per cell]  4 Pm 2.38


Material: PWAu2
Method: DFT, PBE-GGA
State: relaxed

Output
Calculated formation energy ... 0.4879 eV/atom
VASP energy ... -5.742 eV per atom
Density of states at the Fermi level ... 0.653 states/eV/atom
Relative energy among the computed polymorphs ... 0.379 eV per atom

abc: 2.8244 4.7121 5.1309
angles: 90.00 102.72 90.00
Last column: nearest neighbours and their distance in Å.
Space group P2/m (No. 10)
Symmetry-distinct sites (fractional):
P 0.0000 0.0000 0.0000 [1 per cell]  2 W 2.57, 4 Au 2.73, 2 P 2.82
W 0.0000 0.0000 0.5000 [1 per cell]  2 P 2.57, 2 W 2.82
Au 0.3343 0.5000 0.2417 [2 per cell]  5 Au 2.61-2.84, 2 P 2.73


Material: TmPdIO6
Method: DFT, PBE-GGA
State: relaxed

Output
VASP energy ... -5.580 eV per atom
Raw formation energy ... -1.028 eV/atom
Density of states at the Fermi level ... 0.108 states/eV/atom

abc: 5.5006 5.5006 4.5958
angles: 90.00 90.00 120.00
Last column: nearest neighbours and their distance in Å.
Space group P312 (No. 149)
Symmetry-distinct sites (fractional):
Tm 0.0000 0.0000 0.0000 [1 per cell]  6 O 2.21
Pd 0.6667 0.3333 0.5000 [1 per cell]  6 O 2.33
I 0.3333 0.6667 0.0000 [1 per cell]  6 O 1.93
O 0.0444 0.3721 0.2324 [6 per cell]  1 I 1.93


Material: AlAs3
Method: DFT, PBE-GGA
State: relaxed

Output
Calculated formation energy ... 0.3146 eV/atom
VASP energy ... -4.108 eV per atom
Density of states at the Fermi level ... 0.668 states/eV/atom
Relative energy among the computed polymorphs ... 0.415 eV per atom

abc: 3.0036 3.0036 29.0274
angles: 90.00 90.00 120.00
Last column: nearest neighbours and their distance in Å.
Space group R-3m (No. 166, hexagonal axes)
Symmetry-distinct sites (fractional):
Al 0.0000 0.0000 0.0000 [3 per cell]  6 As 2.76, 6 Al 3.00
As 0.0000 0.0000 0.2595 [6 per cell]  3 Al 2.76, 6 As 3.00
As 0.0000 0.0000 0.5000 [3 per cell]  12 As 3.00-3.20


Material: Pm6DyY3Th2
Method: DFT, PBE-GGA
State: relaxed

Output
Calculated formation energy ... 0.0344 eV/atom
VASP energy ... -5.577 eV per atom
Density of states at the Fermi level ... 1.487 states/eV/atom

abc: 6.2526 10.8162 11.9979
angles: 90.00 100.01 90.00
Last column: nearest neighbours and their distance in Å.
Space group C2/m (No. 12)
Symmetry-distinct sites (fractional):
Pm 0.2459 0.0000 0.2474 [4 per cell]  2 Th 3.58, 6 Pm 3.59-3.64, 1 Dy 3.60, 3 Y 3.63-3.64
Pm 0.2493 0.1682 0.7530 [8 per cell]  2 Th 3.58, 6 Pm 3.59-3.64, 1 Dy 3.60, 3 Y 3.63-3.65
Dy 0.0000 0.5000 0.0000 [2 per cell]  6 Pm 3.60, 6 Th 3.61
Y 0.0000 0.0000 0.5000 [2 per cell]  6 Y 3.61, 6 Pm 3.63-3.65
Y 0.0000 0.3334 0.5000 [4 per cell]  6 Y 3.60-3.61, 6 Pm 3.63-3.65
Th 0.0000 0.1665 0.0000 [4 per cell]  6 Pm 3.58, 3 Th 3.60-3.61, 3 Dy 3.61


Material: Ba3ZrZn2O6
Method: DFT, PBE-GGA
State: relaxed

Output
VASP energy ... -6.159 eV per atom
Raw formation energy ... -2.274 eV/atom
Density of states at the Fermi level ... 0.235 states/eV/atom

abc: 6.0064 6.0064 7.0799
angles: 90.00 90.00 120.00
Last column: nearest neighbours and their distance in Å.
Space group P-3m1 (No. 164)
Symmetry-distinct sites (fractional):
Ba 0.0000 0.0000 0.0000 [1 per cell]  6 O 2.85
Ba 0.3333 0.6667 0.6441 [2 per cell]  9 O 2.88-3.01
Zr 0.0000 0.0000 0.5000 [1 per cell]  6 O 2.12
Zn 0.3333 0.6667 0.1880 [2 per cell]  3 O 2.00
O 0.1641 0.3281 0.3222 [6 per cell]  1 Zn 2.00, 1 Zr 2.12


Material: Pt2ICl
Method: DFT, PBE-GGA
State: relaxed

Output
VASP energy ... -3.131 eV per atom
Raw formation energy ... 0.739 eV/atom
Density of states at the Fermi level ... 0.623 states/eV/atom
Relative energy among the computed polymorphs ... 0.227 eV per atom

abc: 6.7783 6.7783 6.7783
angles: 90.00 90.00 90.00
Last column: nearest neighbours and their distance in Å.
Space group Fm-3m (No. 225)
Symmetry-distinct sites (fractional):
Pt 0.2500 0.2500 0.2500 [8 per cell]  4 Cl 2.94, 4 I 2.94
I 0.0000 0.0000 0.0000 [4 per cell]  8 Pt 2.94
Cl 0.0000 0.0000 0.5000 [4 per cell]  8 Pt 2.94


Theoretical density: 8.31; 6.27; 4.71; 7.47; 8.21; 3.45; 6.58; 11.76; 1.75; 2.16; 12.09; 8.36; 6.62; 7.97; 15.18; 6.87; 5.53; 7.33; 5.48; 11.78 (g/cm3)